Material: VGeH
Method: DFT, GGA-PBE
State: optimized geometry

a b c (Å): 3.5077 3.2353 3.2353
angles (deg): 120.00 90.00 90.00
Closest atoms and distances in Å follow each position.
Atoms (fractional coordinates):
V  0.1673  0.6667  0.3333  3 H 1.87
H  0.1655  0.0000  0.0000  3 V 1.87
Ge  0.6672  0.3333  0.6667  6 H 2.56-2.57, 6 V 2.56

Offset from the most stable computed form, meV/atom: 0.0
N(E_F), states/eV/cell: 1.1
E, eV per atom: -5.876